# 1
Density functional theory data (PBE) for crystalline BaNaInS3 at its relaxed geometry.

```
BaNaInS3
1.0
4.1804 0.0000 0.0000
-2.0902 7.1684 0.0000
0.0000 0.0000 10.8355
Ba Na In S
2 2 2 6
Direct
0.7487 0.4974 0.7500
0.2513 0.5026 0.2500
0.0000 0.0000 0.5000
0.0000 0.0000 0.0000
0.4672 0.9344 0.7500
0.5328 0.0656 0.2500
0.6383 0.2767 0.4263
0.3617 0.7233 0.5737
0.3617 0.7233 0.9263
0.6383 0.2767 0.0737
0.0728 0.1456 0.7500
0.9272 0.8544 0.2500
```

Values from the calculation:
Total magnetization, μB per formula unit: 0.000
Symmetry: No. 63
Raw total energy, eV per formula unit: -25.66


# 2
Density functional theory data (PBE) for crystalline RuPtW2 at its relaxed geometry.

```
RuPtW2
1.0
-0.2940 -3.6545 2.5217
-2.0837 -3.6125 -1.5521
2.3393 -3.6323 -1.0652
Pt Ru W
1 1 2
Direct
0.5000 0.5000 0.5000
0.7500 0.7500 0.7500
0.0000 0.0000 0.0000
0.2500 0.2500 0.2500
```

Values from the calculation:
Total magnetization, μB per formula unit: 0.000
Symmetry: No. 216
Distance to the lowest polymorph of the same formula, meV/atom: 350
E_form, eV/atom: 0.18


# 3
Density functional theory data (PBE) for crystalline Pa3Te3H at its relaxed geometry.

```
Pa3Te3H
1.0
-6.3113 -3.0446 1.8183
5.2514 -3.0130 3.9688
-0.7857 5.9273 4.1375
Pa Te H
6 6 2
Direct
0.9039 0.9039 0.1240
0.8617 0.5500 0.7054
0.5500 0.8617 0.7054
0.1383 0.4500 0.2946
0.4500 0.1383 0.2946
0.0961 0.0961 0.8760
0.6095 0.6095 0.3340
0.1506 0.8494 0.5000
0.8494 0.1506 0.5000
0.2552 0.7448 0.0000
0.7448 0.2552 0.0000
0.3905 0.3905 0.6660
0.8211 0.8211 0.8205
0.1789 0.1789 0.1795
```

Values from the calculation:
Total magnetization, μB per formula unit: 2.519
Symmetry: No. 12
Raw total energy, eV per formula unit: -44.86


# 4
Density functional theory data (PBE) for crystalline La2Pm3Pr6Sm at its relaxed geometry.

```
La2Pm3Pr6Sm
1.0
6.4145 -0.0017 -0.0018
-3.2071 5.5551 -0.0018
-1.0785 -1.8674 12.0703
La Pm Pr Sm
2 3 6 1
Direct
0.3332 0.6669 0.0000
0.6669 0.3332 0.0000
0.1664 0.8336 0.5000
0.8336 0.1664 0.5000
0.5000 0.5000 0.5000
0.9158 0.5832 0.7480
0.7513 0.7513 0.2519
0.0842 0.4168 0.2520
0.5832 0.9158 0.7480
0.2487 0.2487 0.7481
0.4168 0.0842 0.2520
0.0000 0.0000 0.0000
```

Values from the calculation:
Total magnetization, μB per formula unit: 0.000
Symmetry: No. 12
E_form, eV/atom: 0.01


# 5
Density functional theory data (PBE) for crystalline Li2Y3Pt6 at its relaxed geometry.

```
Li2Y3Pt6
1.0
-1.2254 7.0595 3.9992
-2.8181 0.6803 -7.6764
-3.9848 -6.0521 3.8503
Li Y Pt
4 6 12
Direct
0.0000 0.5000 0.0000
0.5000 0.0000 0.0000
0.0000 0.0000 0.5000
0.5000 0.5000 0.5000
0.6971 0.0000 0.6971
0.3029 0.0000 0.3029
0.0000 0.3029 0.3029
0.0000 0.6971 0.6971
0.3029 0.3029 0.0000
0.6971 0.6971 0.0000
0.6666 0.3333 0.6666
0.6666 0.0000 0.3334
0.3334 0.0000 0.6666
0.3334 0.6667 0.3334
0.0000 0.6666 0.3334
0.6667 0.3334 0.3334
0.3333 0.6666 0.6666
0.0000 0.3334 0.6666
0.3334 0.6666 0.0000
0.6666 0.6666 0.3333
0.3334 0.3334 0.6667
0.6666 0.3334 0.0000
```

Values from the calculation:
Total magnetization, μB per formula unit: 0.000
Symmetry: No. 229
E_form, eV/atom: -0.94


# 6
Density functional theory data (PBE) for crystalline AlSiSb2 at its relaxed geometry.

```
AlSiSb2
1.0
-3.7907 0.7422 -1.1856
-1.0267 -1.6638 2.2411
0.4347 7.4327 3.2636
Sb Si Al
2 1 1
Direct
0.0000 0.1037 0.0034
0.0000 0.3963 0.4966
0.5000 0.2500 0.2500
0.5000 0.7500 0.7500
```

Values from the calculation:
Total magnetization, μB per formula unit: 0.000
Symmetry: No. 10
Distance to the lowest polymorph of the same formula, meV/atom: 123


# 7
Density functional theory data (PBE) for crystalline Ce2Ga6CoPd at its relaxed geometry.

```
Ce2Ga6CoPd
1.0
-5.9599 -2.2910 -1.7548
2.6201 -2.6085 -5.4935
-0.8147 -6.4369 -1.3231
Ce Ga Co Pd
2 6 1 1
Direct
0.2500 0.7500 0.5000
0.7500 0.2500 0.5000
0.2416 0.7584 0.0000
0.7584 0.7584 0.0000
0.2416 0.2416 0.5168
0.7584 0.2416 0.0000
0.2416 0.2416 0.0000
0.7584 0.7584 0.4832
0.0000 0.0000 0.0000
0.5000 0.5000 0.0000
```

Values from the calculation:
Total magnetization, μB per formula unit: 3.834
Symmetry: No. 225
E_form, eV/atom: -0.35


# 8
Density functional theory data (PBE) for crystalline La6AgPt2I3 at its relaxed geometry.

```
La6AgPt2I3
1.0
7.5856 0.0033 -0.0008
-3.7880 6.5720 -0.0008
-1.2673 -2.1943 8.1603
La Ag Pt I
6 1 2 3
Direct
0.9343 0.5815 0.8034
0.7125 0.7125 0.1946
0.0657 0.4185 0.1966
0.5815 0.9343 0.8034
0.2875 0.2875 0.8054
0.4185 0.0657 0.1966
0.0000 0.0000 0.0000
0.3330 0.6670 0.0000
0.6670 0.3330 0.0000
0.1620 0.8380 0.5000
0.8380 0.1620 0.5000
0.5000 0.5000 0.5000
```

Values from the calculation:
Total magnetization, μB per formula unit: 0.000
Symmetry: No. 12
Raw total energy, eV per formula unit: -61.16